Below is an optimized crystal structure of Be2CdAu, with properties calculated at the PBE-GGA level.

Results
The total energy comes out at -41.2 eV for the cell shown.

a = 6.167 Å, b = 6.167 Å, c = 6.167 Å
α = 90.00°, β = 90.00°, γ = 90.00°
Space group F-43m (No. 216)
Symmetry-distinct sites (fractional):
Be  0.000  0.000  0.000 [4 per cell]
Be  0.250  0.250  0.250 [4 per cell]
Cd  0.000  0.000  0.500 [4 per cell]
Au  0.250  0.250  0.750 [4 per cell]

=====

Below is an optimized crystal structure of LaBeCdAu, with properties calculated at the PBE-GGA level.

Results
The total energy comes out at -52.9 eV for the cell shown. Its total magnetic moment is 0.00 μB/f.u.

a = 7.045 Å, b = 7.045 Å, c = 7.045 Å
α = 90.00°, β = 90.00°, γ = 90.00°
Space group F-43m (No. 216)
Symmetry-distinct sites (fractional):
La  0.000  0.000  0.000 [4 per cell]
Be  0.000  0.000  0.500 [4 per cell]
Cd  0.250  0.250  0.250 [4 per cell]
Au  0.250  0.250  0.750 [4 per cell]

=====

Below is an optimized crystal structure of LaBeCdAu, with properties calculated at the PBE-GGA level.

Results
The total energy comes out at -54.5 eV for the cell shown. Its total magnetic moment is 0.00 μB/f.u.

a = 7.006 Å, b = 7.006 Å, c = 7.006 Å
α = 90.00°, β = 90.00°, γ = 90.00°
Space group F-43m (No. 216)
Symmetry-distinct sites (fractional):
La  0.000  0.000  0.000 [4 per cell]
Be  0.250  0.250  0.250 [4 per cell]
Cd  0.000  0.000  0.500 [4 per cell]
Au  0.250  0.250  0.750 [4 per cell]

=====

Below is an optimized crystal structure of LuBeCdAu, with properties calculated at the PBE-GGA level.

Results
The total energy comes out at -51.5 eV for the cell shown. Its total magnetic moment is 0.00 μB/f.u.

a = 6.608 Å, b = 6.608 Å, c = 6.608 Å
α = 90.00°, β = 90.00°, γ = 90.00°
Space group F-43m (No. 216)
Symmetry-distinct sites (fractional):
Lu  0.000  0.000  0.000 [4 per cell]
Be  0.250  0.250  0.750 [4 per cell]
Cd  0.250  0.250  0.250 [4 per cell]
Au  0.000  0.000  0.500 [4 per cell]

=====

Below is an optimized crystal structure of LuBeCdAu, with properties calculated at the PBE-GGA level.

Results
The total energy comes out at -53.3 eV for the cell shown. Its total magnetic moment is 0.00 μB/f.u.

a = 6.669 Å, b = 6.669 Å, c = 6.669 Å
α = 90.00°, β = 90.00°, γ = 90.00°
Space group F-43m (No. 216)
Symmetry-distinct sites (fractional):
Lu  0.000  0.000  0.000 [4 per cell]
Be  0.250  0.250  0.250 [4 per cell]
Cd  0.000  0.000  0.500 [4 per cell]
Au  0.250  0.250  0.750 [4 per cell]

=====

Below is an optimized crystal structure of LuBeCdAu, with properties calculated at the PBE-GGA level.

Results
The total energy comes out at -52.6 eV for the cell shown. Its total magnetic moment is 0.00 μB/f.u.

a = 6.661 Å, b = 6.661 Å, c = 6.661 Å
α = 90.00°, β = 90.00°, γ = 90.00°
Space group F-43m (No. 216)
Symmetry-distinct sites (fractional):
Lu  0.000  0.000  0.000 [4 per cell]
Be  0.000  0.000  0.500 [4 per cell]
Cd  0.250  0.250  0.250 [4 per cell]
Au  0.250  0.250  0.750 [4 per cell]

=====

Below is an optimized crystal structure of BeTlCdAu, with properties calculated at the PBE-GGA level.

Results
The total energy comes out at -34.8 eV for the cell shown.

a = 6.792 Å, b = 6.792 Å, c = 6.792 Å
α = 90.00°, β = 90.00°, γ = 90.00°
Space group F-43m (No. 216)
Symmetry-distinct sites (fractional):
Be  0.000  0.000  0.000 [4 per cell]
Tl  0.250  0.250  0.250 [4 per cell]
Cd  0.000  0.000  0.500 [4 per cell]
Au  0.250  0.250  0.750 [4 per cell]

=====

Below is an optimized crystal structure of YBeCdAu, with properties calculated at the PBE-GGA level.

Results
The total energy comes out at -60.3 eV for the cell shown. Its total magnetic moment is 0.00 μB/f.u.

a = 6.768 Å, b = 6.768 Å, c = 6.768 Å
α = 90.00°, β = 90.00°, γ = 90.00°
Space group F-43m (No. 216)
Symmetry-distinct sites (fractional):
Y  0.000  0.000  0.000 [4 per cell]
Be  0.000  0.000  0.500 [4 per cell]
Cd  0.250  0.250  0.250 [4 per cell]
Au  0.250  0.250  0.750 [4 per cell]

=====

Below is an optimized crystal structure of YBeCdAu, with properties calculated at the PBE-GGA level.

Results
The total energy comes out at -59.9 eV for the cell shown. Its total magnetic moment is 0.00 μB/f.u.

a = 6.697 Å, b = 6.697 Å, c = 6.697 Å
α = 90.00°, β = 90.00°, γ = 90.00°
Space group F-43m (No. 216)
Symmetry-distinct sites (fractional):
Y  0.000  0.000  0.000 [4 per cell]
Be  0.250  0.250  0.750 [4 per cell]
Cd  0.250  0.250  0.250 [4 per cell]
Au  0.000  0.000  0.500 [4 per cell]

=====

Below is an optimized crystal structure of YBeCdAu, with properties calculated at the PBE-GGA level.

Results
The total energy comes out at -61.4 eV for the cell shown. Its total magnetic moment is 0.00 μB/f.u.

a = 6.759 Å, b = 6.759 Å, c = 6.759 Å
α = 90.00°, β = 90.00°, γ = 90.00°
Space group F-43m (No. 216)
Symmetry-distinct sites (fractional):
Y  0.000  0.000  0.000 [4 per cell]
Be  0.250  0.250  0.250 [4 per cell]
Cd  0.000  0.000  0.500 [4 per cell]
Au  0.250  0.250  0.750 [4 per cell]

=====

Below is an optimized crystal structure of BeCo2Au, with properties calculated at the PBE-GGA level.

Results
The total energy comes out at -80.9 eV for the cell shown. Its total magnetic moment is 0.01 μB/f.u.

a = 5.770 Å, b = 5.770 Å, c = 5.770 Å
α = 90.00°, β = 90.00°, γ = 90.00°
Space group F-43m (No. 216)
Symmetry-distinct sites (fractional):
Be  0.000  0.000  0.000 [4 per cell]
Co  0.000  0.000  0.500 [4 per cell]
Co  0.250  0.250  0.750 [4 per cell]
Au  0.250  0.250  0.250 [4 per cell]

=====

Below is an optimized crystal structure of BeCoGeAu, with properties calculated at the PBE-GGA level.

Results
The total energy comes out at -72.3 eV for the cell shown. Its total magnetic moment is 0.89 μB/f.u.

a = 5.964 Å, b = 5.964 Å, c = 5.964 Å
α = 90.00°, β = 90.00°, γ = 90.00°
Space group F-43m (No. 216)
Symmetry-distinct sites (fractional):
Be  0.000  0.000  0.000 [4 per cell]
Co  0.250  0.250  0.750 [4 per cell]
Ge  0.000  0.000  0.500 [4 per cell]
Au  0.250  0.250  0.250 [4 per cell]

=====

Below is an optimized crystal structure of BeCoGeAu, with properties calculated at the PBE-GGA level.

Results
The total energy comes out at -71.7 eV for the cell shown. Its total magnetic moment is 0.62 μB/f.u.

a = 5.983 Å, b = 5.983 Å, c = 5.983 Å
α = 90.00°, β = 90.00°, γ = 90.00°
Space group F-43m (No. 216)
Symmetry-distinct sites (fractional):
Be  0.000  0.000  0.000 [4 per cell]
Co  0.000  0.000  0.500 [4 per cell]
Ge  0.250  0.250  0.250 [4 per cell]
Au  0.250  0.250  0.750 [4 per cell]

=====

Below is an optimized crystal structure of BeCoMoAu, with properties calculated at the PBE-GGA level.

Results
The total energy comes out at -98.2 eV for the cell shown. Its total magnetic moment is 0.00 μB/f.u.

a = 5.916 Å, b = 5.916 Å, c = 5.916 Å
α = 90.00°, β = 90.00°, γ = 90.00°
Space group F-43m (No. 216)
Symmetry-distinct sites (fractional):
Be  0.000  0.000  0.000 [4 per cell]
Co  0.000  0.000  0.500 [4 per cell]
Mo  0.250  0.250  0.750 [4 per cell]
Au  0.250  0.250  0.250 [4 per cell]

=====

Below is an optimized crystal structure of BeCoMoAu, with properties calculated at the PBE-GGA level.

Results
The total energy comes out at -93.5 eV for the cell shown. Its total magnetic moment is 0.13 μB/f.u.

a = 5.990 Å, b = 5.990 Å, c = 5.990 Å
α = 90.00°, β = 90.00°, γ = 90.00°
Space group F-43m (No. 216)
Symmetry-distinct sites (fractional):
Be  0.000  0.000  0.000 [4 per cell]
Co  0.250  0.250  0.250 [4 per cell]
Mo  0.250  0.250  0.750 [4 per cell]
Au  0.000  0.000  0.500 [4 per cell]

=====

Below is an optimized crystal structure of BeCoSbAu, with properties calculated at the PBE-GGA level.

Results
The total energy comes out at -67.6 eV for the cell shown. Its total magnetic moment is 0.21 μB/f.u.

a = 6.235 Å, b = 6.235 Å, c = 6.235 Å
α = 90.00°, β = 90.00°, γ = 90.00°
Space group F-43m (No. 216)
Symmetry-distinct sites (fractional):
Be  0.000  0.000  0.000 [4 per cell]
Co  0.000  0.000  0.500 [4 per cell]
Sb  0.250  0.250  0.250 [4 per cell]
Au  0.250  0.250  0.750 [4 per cell]

=====

Below is an optimized crystal structure of BeZnCoAu, with properties calculated at the PBE-GGA level.

Results
The total energy comes out at -62.0 eV for the cell shown. Its total magnetic moment is 0.54 μB/f.u.

a = 5.851 Å, b = 5.851 Å, c = 5.851 Å
α = 90.00°, β = 90.00°, γ = 90.00°
Space group F-43m (No. 216)
Symmetry-distinct sites (fractional):
Be  0.000  0.000  0.000 [4 per cell]
Zn  0.000  0.000  0.500 [4 per cell]
Co  0.250  0.250  0.750 [4 per cell]
Au  0.250  0.250  0.250 [4 per cell]

=====

Below is an optimized crystal structure of BeZnCoAu, with properties calculated at the PBE-GGA level.

Results
The total energy comes out at -60.2 eV for the cell shown. Its total magnetic moment is 0.63 μB/f.u.

a = 5.888 Å, b = 5.888 Å, c = 5.888 Å
α = 90.00°, β = 90.00°, γ = 90.00°
Space group F-43m (No. 216)
Symmetry-distinct sites (fractional):
Be  0.000  0.000  0.000 [4 per cell]
Zn  0.250  0.250  0.250 [4 per cell]
Co  0.000  0.000  0.500 [4 per cell]
Au  0.250  0.250  0.750 [4 per cell]

=====

Below is an optimized crystal structure of CsBeAu, with properties calculated at the PBE-GGA level.

Results
The total energy comes out at -22.1 eV for the cell shown.

a = 7.366 Å, b = 7.366 Å, c = 7.366 Å
α = 90.00°, β = 90.00°, γ = 90.00°
Space group F-43m (No. 216)
Symmetry-distinct sites (fractional):
Cs  0.000  0.000  0.000 [4 per cell]
Be  0.250  0.250  0.750 [4 per cell]
Au  0.000  0.000  0.500 [4 per cell]

=====

Below is an optimized crystal structure of CsBeGeAu, with properties calculated at the PBE-GGA level.

Results
The total energy comes out at -34.9 eV for the cell shown.

a = 7.355 Å, b = 7.355 Å, c = 7.355 Å
α = 90.00°, β = 90.00°, γ = 90.00°
Space group F-43m (No. 216)
Symmetry-distinct sites (fractional):
Cs  0.000  0.000  0.000 [4 per cell]
Be  0.000  0.000  0.500 [4 per cell]
Ge  0.250  0.250  0.250 [4 per cell]
Au  0.250  0.250  0.750 [4 per cell]

=====

Below is an optimized crystal structure of CsBeGeAu, with properties calculated at the PBE-GGA level.

Results
The total energy comes out at -36.0 eV for the cell shown.

a = 7.459 Å, b = 7.459 Å, c = 7.459 Å
α = 90.00°, β = 90.00°, γ = 90.00°
Space group F-43m (No. 216)
Symmetry-distinct sites (fractional):
Cs  0.000  0.000  0.000 [4 per cell]
Be  0.250  0.250  0.250 [4 per cell]
Ge  0.000  0.000  0.500 [4 per cell]
Au  0.250  0.250  0.750 [4 per cell]

=====

Below is an optimized crystal structure of CsZrBeAu, with properties calculated at the PBE-GGA level.

Results
The total energy comes out at -51.7 eV for the cell shown. Its total magnetic moment is 0.00 μB/f.u.

a = 6.982 Å, b = 6.982 Å, c = 6.982 Å
α = 90.00°, β = 90.00°, γ = 90.00°
Space group F-43m (No. 216)
Symmetry-distinct sites (fractional):
Cs  0.000  0.000  0.000 [4 per cell]
Zr  0.250  0.250  0.250 [4 per cell]
Be  0.250  0.250  0.750 [4 per cell]
Au  0.000  0.000  0.500 [4 per cell]

=====

Below is an optimized crystal structure of CsZrBeAu, with properties calculated at the PBE-GGA level.

Results
The total energy comes out at -48.7 eV for the cell shown. Its total magnetic moment is 0.00 μB/f.u.

a = 7.065 Å, b = 7.065 Å, c = 7.065 Å
α = 90.00°, β = 90.00°, γ = 90.00°
Space group F-43m (No. 216)
Symmetry-distinct sites (fractional):
Cs  0.000  0.000  0.000 [4 per cell]
Zr  0.250  0.250  0.250 [4 per cell]
Be  0.000  0.000  0.500 [4 per cell]
Au  0.250  0.250  0.750 [4 per cell]

=====

Below is an optimized crystal structure of BeCuAu2, with properties calculated at the PBE-GGA level.

Results
The total energy comes out at -54.1 eV for the cell shown.

a = 6.175 Å, b = 6.175 Å, c = 6.175 Å
α = 90.00°, β = 90.00°, γ = 90.00°
Space group F-43m (No. 216)
Symmetry-distinct sites (fractional):
Be  0.000  0.000  0.000 [4 per cell]
Cu  0.250  0.250  0.250 [4 per cell]
Au  0.000  0.000  0.500 [4 per cell]
Au  0.250  0.250  0.750 [4 per cell]

=====

Below is an optimized crystal structure of BeCuAu, with properties calculated at the PBE-GGA level.

Results
The total energy comes out at -42.9 eV for the cell shown.

a = 5.485 Å, b = 5.485 Å, c = 5.485 Å
α = 90.00°, β = 90.00°, γ = 90.00°
Space group F-43m (No. 216)
Symmetry-distinct sites (fractional):
Be  0.000  0.000  0.000 [4 per cell]
Cu  0.250  0.250  0.250 [4 per cell]
Au  0.250  0.250  0.750 [4 per cell]

=====

Below is an optimized crystal structure of BeCuAu, with properties calculated at the PBE-GGA level.

Results
The total energy comes out at -44.3 eV for the cell shown.

a = 4.975 Å, b = 3.761 Å, c = 8.061 Å
α = 90.00°, β = 90.00°, γ = 90.00°
Space group Pnma (No. 62)
Symmetry-distinct sites (fractional):
Be  0.245  0.250  0.145 [4 per cell]
Cu  0.005  0.250  0.752 [4 per cell]
Au  0.246  0.250  0.450 [4 per cell]

=====

Below is an optimized crystal structure of BeCuAu4, with properties calculated at the PBE-GGA level.

Results
The total energy comes out at -21.1 eV for the cell shown.

a = 2.938 Å, b = 2.938 Å, c = 10.669 Å
α = 90.00°, β = 90.00°, γ = 90.00°
Space group P4/mmm (No. 123)
Symmetry-distinct sites (fractional):
Be  0.000  0.000  0.000 [1 per cell]
Cu  0.500  0.500  0.500 [1 per cell]
Au  0.000  0.000  0.339 [2 per cell]
Au  0.500  0.500  0.136 [2 per cell]

=====

Below is an optimized crystal structure of BeInCuAu, with properties calculated at the PBE-GGA level.

Results
The total energy comes out at -51.9 eV for the cell shown.

a = 6.228 Å, b = 6.228 Å, c = 6.228 Å
α = 90.00°, β = 90.00°, γ = 90.00°
Space group F-43m (No. 216)
Symmetry-distinct sites (fractional):
Be  0.000  0.000  0.000 [4 per cell]
In  0.250  0.250  0.250 [4 per cell]
Cu  0.000  0.000  0.500 [4 per cell]
Au  0.250  0.250  0.750 [4 per cell]

=====

Below is an optimized crystal structure of BeCuSbAu, with properties calculated at the PBE-GGA level.

Results
The total energy comes out at -54.5 eV for the cell shown.

a = 6.394 Å, b = 6.394 Å, c = 6.394 Å
α = 90.00°, β = 90.00°, γ = 90.00°
Space group F-43m (No. 216)
Symmetry-distinct sites (fractional):
Be  0.000  0.000  0.000 [4 per cell]
Cu  0.000  0.000  0.500 [4 per cell]
Sb  0.250  0.250  0.250 [4 per cell]
Au  0.250  0.250  0.750 [4 per cell]

=====

Below is an optimized crystal structure of BeCuSiAu, with properties calculated at the PBE-GGA level.

Results
The total energy comes out at -60.8 eV for the cell shown.

a = 6.007 Å, b = 6.007 Å, c = 6.007 Å
α = 90.00°, β = 90.00°, γ = 90.00°
Space group F-43m (No. 216)
Symmetry-distinct sites (fractional):
Be  0.000  0.000  0.000 [4 per cell]
Cu  0.000  0.000  0.500 [4 per cell]
Si  0.250  0.250  0.250 [4 per cell]
Au  0.250  0.250  0.750 [4 per cell]